(1)
Compound: TbPr8Y2
Source: the Alexandria database
Functional: PBE-GGA
Structure: optimized geometry

energy relative to the lowest polymorph listed for this composition	26	meV/atom
E_form	0.13	eV per atom

a = 9.260 Å, b = 16.800 Å, c = 6.064 Å
α = 90.00°, β = 123.82°, γ = 90.00°
Space group C2/m (No. 12)
Unique sites:
Tb 0.000 0.000 0.000 [2 per cell]
Pr 0.000 0.205 0.000 [4 per cell]
Pr 0.078 0.500 0.796 [4 per cell]
Pr 0.217 0.118 0.682 [8 per cell]
Y 0.000 0.310 0.500 [4 per cell]

(2)
Compound: La2YCl
Source: the Alexandria database
Functional: PBE-GGA
Structure: optimized geometry

energy relative to the lowest polymorph listed for this composition	95	meV/atom

a = 3.591 Å, b = 3.591 Å, c = 9.744 Å
α = 90.00°, β = 90.00°, γ = 90.00°
Space group P4/mmm (No. 123)
Unique sites:
La 0.000 0.000 0.221 [2 per cell]
Y 0.500 0.500 0.500 [1 per cell]
Cl 0.500 0.500 0.000 [1 per cell]

(3)
Compound: BaTiSb2Cl
Source: the Alexandria database
Functional: PBE-GGA
Structure: optimized geometry

a = 5.591 Å, b = 5.591 Å, c = 5.514 Å
α = 90.00°, β = 90.00°, γ = 90.00°
Space group P4/mmm (No. 123)
Unique sites:
Ba 0.000 0.000 0.000 [1 per cell]
Ti 0.500 0.500 0.000 [1 per cell]
Sb 0.000 0.500 0.500 [2 per cell]
Cl 0.000 0.000 0.500 [1 per cell]

(4)
Compound: PmEr3Sc2
Source: the Alexandria database
Functional: PBE-GGA
Structure: optimized geometry

energy relative to the lowest polymorph listed for this composition	0	meV/atom
E_form	0.15	eV per atom

a = 22.503 Å, b = 3.387 Å, c = 9.862 Å
α = 90.00°, β = 108.01°, γ = 90.00°
Space group C2/m (No. 12)
Unique sites:
Pm 0.182 0.000 0.045 [4 per cell]
Er 0.060 0.000 0.437 [4 per cell]
Er 0.067 0.500 0.768 [4 per cell]
Er 0.197 0.000 0.709 [4 per cell]
Sc 0.070 0.500 0.142 [4 per cell]
Sc 0.192 0.000 0.375 [4 per cell]

(5)
Compound: NdSmCu
Source: the Alexandria database
Functional: PBE-GGA
Structure: optimized geometry

energy relative to the lowest polymorph listed for this composition	27	meV/atom
E_form	-0.08	eV per atom

a = 3.582 Å, b = 3.582 Å, c = 12.613 Å
α = 90.00°, β = 90.00°, γ = 90.00°
Space group I4mm (No. 107)
Unique sites:
Nd 0.000 0.000 0.000 [2 per cell]
Sm 0.000 0.000 0.278 [2 per cell]
Cu 0.000 0.000 0.644 [2 per cell]

(6)
Compound: Er3Lu5H12
Source: the Alexandria database
Functional: PBE-GGA
Structure: optimized geometry

a = 12.735 Å, b = 12.735 Å, c = 12.735 Å
α = 90.00°, β = 90.00°, γ = 90.00°
Space group Ia-3d (No. 230)
Unique sites:
Er 0.000 0.250 0.125 [24 per cell]
Lu 0.000 0.000 0.000 [16 per cell]
Lu 0.000 0.250 0.375 [24 per cell]
H 0.002 0.066 0.656 [96 per cell]

(7)
Compound: NdSm2Pt
Source: the Alexandria database
Functional: PBE-GGA
Structure: optimized geometry

energy relative to the lowest polymorph listed for this composition	143	meV/atom
E_form	-0.47	eV per atom

a = 3.9051 Å, b = 3.9051 Å, c = 28.9441 Å
α = 90.00°, β = 90.00°, γ = 120.00°
Space group R-3m (No. 166, hexagonal axes)
Unique sites:
Nd 0.0000 0.0000 0.0000 [3 per cell]
Sm 0.0000 0.0000 0.2279 [6 per cell]
Pt 0.0000 0.0000 0.5000 [3 per cell]

(8)
Compound: PmAl4ZnPd2
Source: the Alexandria database
Functional: PBE-GGA
Structure: optimized geometry

E_form	-0.56	eV per atom

a = 4.3099 Å, b = 4.3099 Å, c = 26.5831 Å
α = 90.00°, β = 90.00°, γ = 120.00°
Space group R-3m (No. 166, hexagonal axes)
Unique sites:
Pm 0.0000 0.0000 0.0000 [3 per cell]
Al 0.0000 0.0000 0.1271 [6 per cell]
Al 0.0000 0.0000 0.4023 [6 per cell]
Zn 0.0000 0.0000 0.5000 [3 per cell]
Pd 0.0000 0.0000 0.2346 [6 per cell]

(9)
Compound: AlCr5Fe6
Source: the Alexandria database
Functional: PBE-GGA
Structure: optimized geometry

E_form	0.05	eV per atom

a = 3.798 Å, b = 6.305 Å, c = 11.156 Å
α = 90.00°, β = 90.00°, γ = 90.00°
Space group Immm (No. 71)
Unique sites:
Al 0.000 0.000 0.000 [2 per cell]
Cr 0.000 0.000 0.357 [4 per cell]
Cr 0.000 0.500 0.000 [2 per cell]
Cr 0.000 0.500 0.316 [4 per cell]
Fe 0.000 0.235 0.171 [8 per cell]
Fe 0.000 0.271 0.500 [4 per cell]

(10)
Compound: BaSn4Pd2
Source: the Alexandria database
Functional: PBE-GGA
Structure: optimized geometry

energy relative to the lowest polymorph listed for this composition	115	meV/atom
E_form	-0.43	eV per atom

a = 5.161 Å, b = 13.625 Å, c = 5.149 Å
α = 90.00°, β = 90.00°, γ = 90.00°
Space group Cmmm (No. 65)
Unique sites:
Ba 0.000 0.000 0.000 [2 per cell]
Sn 0.000 0.177 0.500 [4 per cell]
Sn 0.000 0.315 0.000 [4 per cell]
Pd 0.000 0.393 0.500 [4 per cell]

(11)
Compound: CaCd2Cl
Source: the Alexandria database
Functional: PBE-GGA
Structure: optimized geometry

energy relative to the lowest polymorph listed for this composition	278	meV/atom

a = 7.496 Å, b = 7.496 Å, c = 7.496 Å
α = 90.00°, β = 90.00°, γ = 90.00°
Space group F-43m (No. 216)
Unique sites:
Ca 0.000 0.000 0.000 [4 per cell]
Cd 0.000 0.000 0.500 [4 per cell]
Cd 0.250 0.250 0.250 [4 per cell]
Cl 0.250 0.250 0.750 [4 per cell]

(12)
Compound: KPuPb2Br8
Source: the Alexandria database
Functional: PBE-GGA
Structure: optimized geometry

a = 6.988 Å, b = 9.236 Å, c = 7.231 Å
α = 90.00°, β = 90.82°, γ = 90.00°
Space group P2/m (No. 10)
Unique sites:
K 0.000 0.000 0.000 [1 per cell]
Pu 0.000 0.500 0.000 [1 per cell]
Pb 0.500 0.248 0.500 [2 per cell]
Br 0.243 0.278 0.154 [4 per cell]
Br 0.245 0.500 0.676 [2 per cell]
Br 0.269 0.000 0.636 [2 per cell]

| no. | energy (eV per atom) |
| --- | --- |
| 1 | -4.94 |
| 2 | -5.13 |
| 3 | -3.69 |
| 4 | -5.03 |
| 5 | -4.61 |
| 6 | -4.29 |
| 7 | -5.53 |
| 8 | -4.48 |
| 9 | -8.50 |
| 10 | -4.48 |
| 11 | -1.93 |
| 12 | -4.26 |